[1]
! ZnSb | the Alexandria database | GGA-PBEsol | relaxed; values from VASP
&SYSTEM
  ibrav = 0, nat = 4, ntyp = 2
/
ATOMIC_SPECIES
Zn 65.41 Zn.upf
Sb 121.76 Sb.upf
CELL_PARAMETERS angstrom
4.0180 -1.9596 0.0000
4.0180 1.9596 0.0000
-1.9878 0.0000 5.6372
ATOMIC_POSITIONS angstrom
Zn 0.1444 0.0000 2.3155
Zn 5.9038 0.0000 3.3217
Sb 2.4708 0.0000 1.0835
Sb 3.5774 0.0000 4.5537
! - energy relative to the elements, uncorrected (eV per atom) = 0.052

[2]
! KCaSb2 | the Alexandria database | GGA-PBEsol | relaxed; values from VASP
&SYSTEM
  ibrav = 0, nat = 4, ntyp = 3
/
ATOMIC_SPECIES
K 39.10 K.upf
Ca 40.08 Ca.upf
Sb 121.76 Sb.upf
CELL_PARAMETERS angstrom
5.9377 0.0000 0.0000
0.0000 5.9377 0.0000
0.0000 0.0000 3.3385
ATOMIC_POSITIONS angstrom
K 0.0000 0.0000 0.0000
Ca 2.9688 2.9688 0.0000
Sb 0.0000 2.9688 1.6693
Sb 2.9688 0.0000 1.6693
! - relative energy among the computed polymorphs (meV per atom) = 157.6
! - energy relative to the elements, uncorrected (eV per atom) = -0.472

[3]
! KZnSn3 | the Alexandria database | GGA-PBEsol | relaxed; values from VASP
&SYSTEM
  ibrav = 0, nat = 5, ntyp = 3
/
ATOMIC_SPECIES
K 39.10 K.upf
Zn 65.41 Zn.upf
Sn 118.71 Sn.upf
CELL_PARAMETERS angstrom
5.8068 0.0000 0.0000
0.0000 5.8068 0.0000
0.0000 0.0000 5.8068
ATOMIC_POSITIONS angstrom
K 0.0000 0.0000 0.0000
Zn 2.9034 2.9034 2.9034
Sn 0.0000 0.0000 2.9034
Sn 0.0000 2.9034 0.0000
Sn 2.9034 0.0000 0.0000
! - ΔH_f (0 K) (eV per atom) = 1.32

[4]
! Si4TeCl | the Alexandria database | GGA-PBEsol | relaxed; values from VASP
&SYSTEM
  ibrav = 0, nat = 6, ntyp = 3
/
ATOMIC_SPECIES
Si 28.09 Si.upf
Te 127.60 Te.upf
Cl 35.45 Cl.upf
CELL_PARAMETERS angstrom
0.0000 3.7669 3.7669
3.7669 0.0000 3.7669
3.7669 3.7669 0.0000
ATOMIC_POSITIONS angstrom
Si 2.8386 2.8386 2.8386
Si 4.6951 4.6951 2.8386
Si 4.6951 2.8386 4.6951
Si 2.8386 4.6951 4.6951
Te 0.0000 0.0000 0.0000
Cl 5.6503 5.6503 5.6503
! - energy relative to the elements, uncorrected (eV per atom) = 0.445

[5]
! Cu2TcNiP | the Alexandria database | GGA-PBEsol | relaxed; values from VASP
&SYSTEM
  ibrav = 0, nat = 5, ntyp = 4
/
ATOMIC_SPECIES
Cu 63.55 Cu.upf
Tc 98.00 Tc.upf
Ni 58.69 Ni.upf
P 30.97 P.upf
CELL_PARAMETERS angstrom
4.1807 0.0000 0.0000
0.0000 4.1807 0.0000
0.0000 0.0000 4.0643
ATOMIC_POSITIONS angstrom
Cu 0.0000 2.0904 0.0000
Cu 2.0904 0.0000 0.0000
Tc 0.0000 0.0000 2.0322
Ni 2.0904 2.0904 2.0322
P 2.0904 2.0904 0.0000
! - ΔH_f (0 K) (eV per atom) = 0.70

[6]
! BaLi3Pb | the Alexandria database | GGA-PBEsol | relaxed; values from VASP
&SYSTEM
  ibrav = 0, nat = 5, ntyp = 3
/
ATOMIC_SPECIES
Ba 137.33 Ba.upf
Li 6.94 Li.upf
Pb 207.20 Pb.upf
CELL_PARAMETERS angstrom
5.2569 0.0000 0.0000
0.0000 5.2569 0.0000
0.0000 0.0000 5.2569
ATOMIC_POSITIONS angstrom
Ba 0.0000 0.0000 0.0000
Li 0.0000 2.6285 2.6285
Li 2.6285 0.0000 2.6285
Li 2.6285 2.6285 0.0000
Pb 2.6285 2.6285 2.6285
! - ΔH_f (0 K) (eV per atom) = -0.19

[7]
! BaMgWF7 | the Alexandria database | GGA-PBEsol | relaxed; values from VASP
&SYSTEM
  ibrav = 0, nat = 40, ntyp = 4
/
ATOMIC_SPECIES
Ba 137.33 Ba.upf
Mg 24.30 Mg.upf
W 183.84 W.upf
F 19.00 F.upf
CELL_PARAMETERS angstrom
5.5718 0.0000 0.0000
0.0000 10.1561 0.0000
-0.2388 0.0000 9.7223
ATOMIC_POSITIONS angstrom
Ba 1.3189 1.7535 0.0037
Ba 1.1995 3.3245 4.8648
Ba 4.1335 6.8316 4.8574
Ba 4.0141 8.4026 9.7186
Mg 0.8070 6.1563 7.8672
Mg 0.9264 9.0779 3.0061
Mg 4.4065 1.0782 6.7162
Mg 4.5260 3.9999 1.8550
W 1.6505 6.2356 1.7855
W 1.5311 8.9985 6.6466
W 3.8018 1.1576 3.0756
W 3.6824 3.9205 7.9368
F -0.0191 7.3214 2.4084
F -0.1385 7.9128 7.2696
F 0.3948 5.4641 6.1281
F 0.5142 9.7701 1.2669
F 0.6430 0.6020 6.0507
F 0.7624 4.4761 1.1896
F 0.9882 7.0802 9.6491
F 1.1077 8.1539 4.7880
F 1.9856 0.4161 3.6522
F 1.8661 4.6620 8.5133
F 2.1476 5.5244 3.6222
F 2.0282 9.7098 8.4833
F 2.4259 7.2334 7.2655
F 2.5453 8.0007 2.4044
F 2.7876 2.1554 7.3179
F 2.9071 2.9227 2.4567
F 3.3048 0.4464 1.2389
F 3.1854 4.6317 6.1001
F 3.4668 5.4941 1.2090
F 3.3474 9.7400 6.0701
F 4.2253 2.0022 4.9343
F 4.3447 3.0759 0.0731
F 4.5705 5.6800 8.5327
F 4.6899 9.5541 3.6716
F 4.8187 0.3860 8.4553
F 4.9381 4.6921 3.5942
F 5.4715 2.2433 2.4527
F 5.3521 2.8347 7.3138
! - energy relative to the elements, uncorrected (eV per atom) = -2.966

[8]
! LaMg2Al2 | the Alexandria database | GGA-PBEsol | relaxed; values from VASP
&SYSTEM
  ibrav = 0, nat = 10, ntyp = 3
/
ATOMIC_SPECIES
La 138.91 La.upf
Mg 24.30 Mg.upf
Al 26.98 Al.upf
CELL_PARAMETERS angstrom
8.4468 0.0000 0.0000
0.0000 8.4468 0.0000
0.0000 0.0000 3.1241
ATOMIC_POSITIONS angstrom
La 0.0000 0.0000 0.0000
La 4.2234 4.2234 0.0000
Mg 1.4257 2.7977 1.5620
Mg 2.7977 7.0211 1.5620
Mg 5.6491 1.4257 1.5620
Mg 7.0211 5.6491 1.5620
Al 1.0410 5.2644 0.0000
Al 3.1824 1.0410 0.0000
Al 5.2644 7.4058 0.0000
Al 7.4058 3.1824 0.0000
! - ΔH_f (0 K) (eV per atom) = -0.10

[9]
! Cs2TmCl5 | the Alexandria database | GGA-PBEsol | relaxed; values from VASP
&SYSTEM
  ibrav = 0, nat = 32, ntyp = 3
/
ATOMIC_SPECIES
Cs 132.91 Cs.upf
Tm 168.93 Tm.upf
Cl 35.45 Cl.upf
CELL_PARAMETERS angstrom
9.3772 0.0000 0.0000
0.0000 7.3063 0.0000
0.0000 0.0000 15.0444
ATOMIC_POSITIONS angstrom
Cs 0.2596 1.8266 3.1558
Cs 1.5595 5.4797 6.2559
Cs 3.1291 1.8266 13.7781
Cs 4.4290 5.4797 10.6780
Cs 4.9482 1.8266 4.3664
Cs 6.2481 5.4797 1.2663
Cs 7.8177 1.8266 8.7885
Cs 9.1176 5.4797 11.8886
Tm 1.6852 5.4797 0.9798
Tm 3.0034 1.8266 8.5020
Tm 6.3738 5.4797 6.5425
Tm 7.6920 1.8266 14.0647
Cl 0.0000 0.0000 0.0000
Cl 0.0000 3.6532 0.0000
Cl 0.1682 5.4797 3.0198
Cl 1.5348 3.6962 9.3179
Cl 1.5348 7.2633 9.3179
Cl 1.9621 1.8266 6.1430
Cl 2.7265 5.4797 13.6652
Cl 3.1538 0.0430 1.7957
Cl 3.1538 3.6102 1.7957
Cl 4.5204 1.8266 10.5420
Cl 4.6886 0.0000 7.5222
Cl 4.6886 3.6532 7.5222
Cl 4.8568 5.4797 4.5024
Cl 6.2234 3.6962 13.2487
Cl 6.2234 7.2633 13.2487
Cl 6.6507 1.8266 1.3792
Cl 7.4151 5.4797 8.9014
Cl 7.8424 0.0430 5.7265
Cl 7.8424 3.6102 5.7265
Cl 9.2090 1.8266 12.0246
! - energy relative to the elements, uncorrected (eV per atom) = -2.204

[10]
! Fe2CoW | the Alexandria database | GGA-PBEsol | relaxed; values from VASP
&SYSTEM
  ibrav = 0, nat = 4, ntyp = 3
/
ATOMIC_SPECIES
Fe 55.84 Fe.upf
Co 58.93 Co.upf
W 183.84 W.upf
CELL_PARAMETERS angstrom
0.0000 2.8613 2.8613
2.8613 0.0000 2.8613
2.8613 2.8613 0.0000
ATOMIC_POSITIONS angstrom
Fe 1.4306 1.4306 1.4306
Fe 4.2919 4.2919 4.2919
Co 0.0000 0.0000 0.0000
W 2.8613 2.8613 2.8613
! - ΔH_f (0 K) (eV per atom) = 0.13
! - relative energy among the computed polymorphs (meV per atom) = 165.8

[11]
! SiRh2W | the Alexandria database | GGA-PBEsol | relaxed; values from VASP
&SYSTEM
  ibrav = 0, nat = 4, ntyp = 3
/
ATOMIC_SPECIES
Si 28.09 Si.upf
Rh 102.91 Rh.upf
W 183.84 W.upf
CELL_PARAMETERS angstrom
-1.4140 2.1879 4.4370
1.4140 -2.1879 4.4370
1.4140 2.1879 -4.4370
ATOMIC_POSITIONS angstrom
Si 0.0000 0.0000 0.0000
Rh 0.0000 0.0000 4.4584
Rh 0.0000 2.1879 2.5838
W 1.4140 0.0000 2.0673
! - energy relative to the elements, uncorrected (eV per atom) = -0.398

[12]
! CaLa2Ag2 | the Alexandria database | GGA-PBEsol | relaxed; values from VASP
&SYSTEM
  ibrav = 0, nat = 10, ntyp = 3
/
ATOMIC_SPECIES
Ca 40.08 Ca.upf
La 138.91 La.upf
Ag 107.87 Ag.upf
CELL_PARAMETERS angstrom
8.4767 0.0000 0.0000
0.0000 8.4767 0.0000
0.0000 0.0000 3.9752
ATOMIC_POSITIONS angstrom
Ca 0.0000 0.0000 0.0000
Ca 4.2384 4.2384 0.0000
La 1.3915 2.8468 1.9876
La 2.8468 7.0852 1.9876
La 5.6299 1.3915 1.9876
La 7.0852 5.6299 1.9876
Ag 1.0704 5.3088 0.0000
Ag 3.1680 1.0704 0.0000
Ag 5.3088 7.4064 0.0000
Ag 7.4064 3.1680 0.0000
! - ΔH_f (0 K) (eV per atom) = -0.19
! - relative energy among the computed polymorphs (meV per atom) = 0.0

| no. | Fermi-level density of states (states/eV/cell) |
| --- | --- |
| 1 | 1.1 |
| 2 | 2.3 |
| 3 | 4.7 |
| 4 | 3.7 |
| 5 | 3.9 |
| 6 | 2.8 |
| 7 | 0.0 |
| 8 | 5.3 |
| 9 | 0.0 |
| 10 | 6.1 |
| 11 | 2.0 |
| 12 | 12.7 |